1 | Crystalline CrTcNi at its relaxed geometry, computed with PBE.

Lattice parameters (Å, degrees): 4.596 2.550 6.368 90.00 92.61 90.00
Fractional positions:
Cr 0.000 0.000 0.000
Cr 0.166 0.500 0.671
Tc 0.332 0.000 0.327
Tc 0.673 0.000 0.667
Ni 0.508 0.500 0.996
Ni 0.831 0.500 0.326

Properties
Density of states at the Fermi level ... 1.165 states/eV/atom
Calculated volume ... 12.42 A^3/atom
Crystal system ... monoclinic

---

2 | Crystalline CrTcNi at its relaxed geometry, computed with PBE.

Lattice parameters (Å, degrees): 4.509 4.509 4.515 99.32 99.32 120.33
Fractional positions:
Cr 0.000 0.000 0.000
Cr 0.500 0.500 0.500
Tc 0.168 0.832 0.500
Tc 0.832 0.168 0.500
Ni 0.337 0.663 0.000
Ni 0.663 0.337 0.000

Properties
Density of states at the Fermi level ... 1.159 states/eV/atom
Calculated volume ... 12.49 A^3/atom
Crystal system ... monoclinic

---

Winner for stability: 1

---

1 | Crystalline CrTcNi at its relaxed geometry, computed with PBE.

Lattice parameters (Å, degrees): 6.065 6.065 6.065 155.85 155.85 34.42
Fractional positions:
Cr 0.000 0.000 0.000
Tc 0.322 0.322 0.000
Ni 0.652 0.652 0.000

Properties
Density of states at the Fermi level ... 1.430 states/eV/atom
Calculated volume ... 12.44 A^3/atom
Crystal system ... tetragonal

---

2 | Crystalline CrTcNi at its relaxed geometry, computed with PBE.

Lattice parameters (Å, degrees): 3.932 3.932 3.932 60.00 60.00 60.00
Fractional positions:
Cr 0.000 0.000 0.000
Tc 0.750 0.750 0.750
Ni 0.250 0.250 0.250

Properties
Density of states at the Fermi level ... 1.326 states/eV/atom
Calculated volume ... 14.33 A^3/atom
Crystal system ... cubic

---

Winner for stability: 1

---

1 | Crystalline CrTcNi at its relaxed geometry, computed with PBE.

Lattice parameters (Å, degrees): 4.162 4.162 2.496 90.00 90.00 120.00
Fractional positions:
Cr 0.000 0.000 0.000
Tc 0.333 0.667 0.344
Ni 0.667 0.333 0.816

Properties
Density of states at the Fermi level ... 0.903 states/eV/atom
Calculated volume ... 12.48 A^3/atom
Crystal system ... trigonal

---

2 | Crystalline CrTcNi at its relaxed geometry, computed with PBE.

Lattice parameters (Å, degrees): 2.524 3.918 7.605 90.00 97.63 90.00
Fractional positions:
Cr 0.000 0.000 0.000
Cr 0.370 0.500 0.153
Tc 0.795 0.000 0.321
Tc 0.934 0.000 0.669
Ni 0.369 0.500 0.498
Ni 0.491 0.500 0.835

Properties
Density of states at the Fermi level ... 0.959 states/eV/atom
Calculated volume ... 12.42 A^3/atom
Crystal system ... monoclinic

---

3 | Crystalline CrTcNi at its relaxed geometry, computed with PBE.

Lattice parameters (Å, degrees): 2.559 5.211 5.884 101.40 100.24 96.39
Fractional positions:
Cr 0.154 0.096 0.354
Cr 0.846 0.904 0.646
Tc 0.398 0.244 0.990
Tc 0.602 0.756 0.010
Ni 0.165 0.579 0.339
Ni 0.835 0.421 0.661

Properties
Density of states at the Fermi level ... 1.011 states/eV/atom
Calculated volume ... 12.47 A^3/atom
Crystal system ... triclinic

---

Winner for stability: 2

---

1 | Crystalline CrTcNi6 at its relaxed geometry, computed with PBE.

Lattice parameters (Å, degrees): 7.664 7.664 7.664 153.23 153.23 38.22
Fractional positions:
Cr 0.000 0.000 0.000
Tc 0.500 0.500 0.000
Ni 0.128 0.628 0.500
Ni 0.250 0.250 0.000
Ni 0.372 0.872 0.500
Ni 0.628 0.128 0.500
Ni 0.750 0.750 0.000
Ni 0.872 0.372 0.500

Properties
Density of states at the Fermi level ... 1.444 states/eV/atom
Calculated volume ... 11.40 A^3/atom
Crystal system ... tetragonal

---

2 | Crystalline CrTcNi6 at its relaxed geometry, computed with PBE.

Lattice parameters (Å, degrees): 6.223 6.223 10.166 90.00 90.00 109.42
Fractional positions:
Cr 0.000 0.000 0.247
Cr 0.000 0.000 0.753
Cr 0.250 0.750 0.000
Cr 0.750 0.250 0.000
Tc 0.250 0.750 0.500
Tc 0.500 0.500 0.246
Tc 0.500 0.500 0.754
Tc 0.750 0.250 0.500
Ni 0.000 0.000 0.000
Ni 0.000 0.000 0.500
Ni 0.125 0.375 0.125
Ni 0.125 0.375 0.374
Ni 0.125 0.375 0.626
Ni 0.125 0.375 0.875
Ni 0.250 0.750 0.250
Ni 0.250 0.750 0.750
Ni 0.375 0.125 0.125
Ni 0.375 0.125 0.374
Ni 0.375 0.125 0.626
Ni 0.375 0.125 0.875
Ni 0.500 0.500 0.000
Ni 0.500 0.500 0.500
Ni 0.625 0.875 0.125
Ni 0.625 0.875 0.374
Ni 0.625 0.875 0.626
Ni 0.625 0.875 0.875
Ni 0.750 0.250 0.250
Ni 0.750 0.250 0.750
Ni 0.875 0.625 0.125
Ni 0.875 0.625 0.374
Ni 0.875 0.625 0.626
Ni 0.875 0.625 0.875

Properties
Density of states at the Fermi level ... 1.197 states/eV/atom
Calculated volume ... 11.60 A^3/atom
Crystal system ... orthorhombic

---

Winner for stability: 1

---

1 | Crystalline CrTc3Ni at its relaxed geometry, computed with PBE.

Lattice parameters (Å, degrees): 4.354 4.354 4.354 90.00 90.00 90.00
Fractional positions:
Cr 0.000 0.000 0.000
Tc 0.000 0.500 0.500
Tc 0.500 0.000 0.500
Tc 0.500 0.500 0.000
Ni 0.500 0.500 0.500

Properties
Density of states at the Fermi level ... 2.359 states/eV/atom
Calculated volume ... 16.51 A^3/atom
Crystal system ... cubic

---

2 | Crystalline CrTc3Ni at its relaxed geometry, computed with PBE.

Lattice parameters (Å, degrees): 4.363 4.363 4.363 90.00 90.00 90.00
Fractional positions:
Cr 0.000 0.000 0.000
Tc 0.000 0.000 0.500
Tc 0.000 0.500 0.000
Tc 0.500 0.000 0.000
Ni 0.500 0.500 0.500

Properties
Density of states at the Fermi level ... 1.271 states/eV/atom
Calculated volume ... 16.61 A^3/atom
Crystal system ... cubic

---

Winner for stability: 2

---

1 | Crystalline CrNiTe2 at its relaxed geometry, computed with PBE.

Lattice parameters (Å, degrees): 7.531 7.531 7.531 152.67 151.99 39.53
Fractional positions:
Cr 0.000 0.000 0.000
Ni 0.367 0.867 0.500
Te 0.586 0.586 0.000
Te 0.846 0.346 0.500

Properties
Density of states at the Fermi level ... 0.466 states/eV/atom
Calculated volume ... 22.98 A^3/atom
Crystal system ... orthorhombic

---

2 | Crystalline CrNiTe2 at its relaxed geometry, computed with PBE.

Lattice parameters (Å, degrees): 4.725 4.725 3.435 90.00 90.00 90.00
Fractional positions:
Cr 0.000 0.000 0.000
Ni 0.500 0.500 0.000
Te 0.000 0.500 0.500
Te 0.500 0.000 0.500

Properties
Density of states at the Fermi level ... 0.520 states/eV/atom
Calculated volume ... 19.17 A^3/atom
Crystal system ... tetragonal

---

Winner for stability: 1